Material: KTiBeTe3
Method: DFT, PBE-GGA
State: relaxed

a b c (Å): 4.012 9.723 9.973
angles (deg): 113.15 90.00 90.00
Each line ends with the local moment (μB).
Sites, in units of the cell vectors:
Ti1 0.250 0.640 0.125  0.88
Ti2 0.750 0.360 0.875  0.88
Be1 0.750 0.923 0.408  0.01
Be2 0.250 0.077 0.592  0.01
Te1 0.250 0.797 0.458  -0.01
Te2 0.250 0.141 0.855  -0.03
Te3 0.750 0.203 0.542  -0.01
Te4 0.750 0.464 0.174  -0.04
Te5 0.750 0.859 0.145  -0.03
Te6 0.250 0.536 0.826  -0.04
K1 0.250 0.189 0.232  0.00
K2 0.750 0.811 0.768  0.00

Computed properties:
raw formation energy: -0.68 eV/atom
calculated density: 4445 kg/m3

---

Material: Rb3GaOs
Method: DFT, PBE-GGA
State: relaxed

a b c (Å): 6.478 6.478 6.478
angles (deg): 90.00 90.00 90.00
Each line ends with the local moment (μB).
Sites, in units of the cell vectors:
Rb1 0.000 0.500 0.000  0.03
Rb2 0.000 0.000 0.500  0.03
Rb3 0.500 0.000 0.000  0.04
Ga1 0.500 0.500 0.500  0.32
Os1 0.000 0.000 0.000  1.85

Computed properties:
E_form: 1.33 eV per atom
calculated density: 3154 kg/m3

---

Material: RbSc3Au
Method: DFT, PBE-GGA
State: relaxed

a b c (Å): 5.406 5.406 5.406
angles (deg): 90.00 90.00 90.00
Each line ends with the local moment (μB).
Sites, in units of the cell vectors:
Sc1 0.000 0.500 0.000  0.17
Sc2 0.500 0.000 0.000  0.25
Sc3 0.000 0.000 0.500  0.11
Rb1 0.500 0.500 0.500  0.02
Au1 0.000 0.000 0.000  0.01

Computed properties:
E_form: 0.20 eV per atom
calculated density: 4386 kg/m3

---

Material: La3ZrBe
Method: DFT, PBE-GGA
State: relaxed

a b c (Å): 5.671 5.671 5.671
angles (deg): 90.00 90.00 90.00
Sites, in units of the cell vectors:
Be1 0.500 0.500 0.500
La1 0.500 0.000 0.000
La2 0.000 0.500 0.000
La3 0.000 0.000 0.500
Zr1 0.000 0.000 0.000

Computed properties:
E_form: 0.88 eV per atom
calculated density: 4706 kg/m3

---

Material: FeHg
Method: DFT, PBE-GGA
State: relaxed

a b c (Å): 4.558 4.558 5.270
angles (deg): 90.00 90.00 120.00
Each line ends with the local moment (μB).
Sites, in units of the cell vectors:
Fe1 0.667 0.333 0.750  2.92
Fe2 0.333 0.667 0.250  2.92
Hg1 0.667 0.333 0.250  -0.07
Hg2 0.333 0.667 0.750  -0.07

Computed properties:
E_form: 1.01 eV per atom
calculated density: 8982 kg/m3

---

Material: SrPm2Co
Method: DFT, PBE-GGA
State: relaxed

a b c (Å): 3.542 3.542 9.991
angles (deg): 90.00 90.00 90.00
Each line ends with the local moment (μB).
Sites, in units of the cell vectors:
Sr1 0.500 0.500 0.500  -0.01
Pm1 0.000 0.000 0.838  -0.09
Pm2 0.000 0.000 0.162  -0.09
Co1 0.500 0.500 0.000  0.83

Computed properties:
E_form: 0.07 eV per atom
calculated density: 5782 kg/m3

---

Material: Cs2Tl12Pd7
Method: DFT, PBE-GGA
State: relaxed

a b c (Å): 4.649 11.651 11.651
angles (deg): 120.00 90.00 90.00
Sites, in units of the cell vectors:
Tl1 0.000 0.259 0.050
Tl2 0.500 0.709 0.098
Tl3 0.000 0.474 0.949
Tl4 0.000 0.791 0.741
Tl5 0.500 0.390 0.291
Tl6 0.500 0.217 0.453
Tl7 0.500 0.902 0.610
Tl8 0.000 0.475 0.526
Tl9 0.500 0.547 0.765
Tl10 0.000 0.051 0.525
Tl11 0.500 0.235 0.783
Tl12 0.000 0.950 0.209
Pd1 0.000 0.063 0.771
Pd2 0.500 0.936 0.362
Pd3 0.000 0.333 0.667
Pd4 0.500 0.427 0.064
Pd5 0.000 0.229 0.292
Pd6 0.500 0.638 0.573
Pd7 0.000 0.708 0.937
Cs1 0.000 0.667 0.333
Cs2 0.500 0.000 0.000

Computed properties:
E_form: -0.11 eV per atom
calculated density: 10524 kg/m3

---

Material: NaHfAl
Method: DFT, PBE-GGA
State: relaxed

a b c (Å): 5.066 5.066 5.807
angles (deg): 90.00 90.00 120.00
Sites, in units of the cell vectors:
Hf1 0.667 0.333 0.750
Hf2 0.333 0.667 0.250
Al1 0.333 0.667 0.750
Al2 0.667 0.333 0.250
Na1 0.000 0.000 0.000
Na2 0.000 0.000 0.500

Computed properties:
E_form: 0.25 eV per atom
calculated density: 5880 kg/m3

---

Material: CdIn6Ag5
Method: DFT, PBE-GGA
State: relaxed

a b c (Å): 4.579 6.910 8.902
angles (deg): 92.92 98.84 70.65
Sites, in units of the cell vectors:
In1 0.152 0.664 0.257
In2 0.184 0.664 0.743
In3 0.509 0.000 0.740
In4 0.848 0.336 0.743
In5 0.816 0.336 0.257
In6 0.491 0.000 0.260
Cd1 0.000 0.000 0.000
Ag1 0.333 0.333 0.500
Ag2 0.330 0.341 0.000
Ag3 0.000 0.000 0.500
Ag4 0.667 0.667 0.500
Ag5 0.670 0.659 0.000

Computed properties:
E_form: 0.04 eV per atom
calculated density: 8479 kg/m3

---

Material: Tb4SbRu2
Method: DFT, PBE-GGA
State: relaxed

a b c (Å): 8.509 6.346 8.096
angles (deg): 104.87 115.10 104.96
Sites, in units of the cell vectors:
Tb1 0.842 0.523 0.083
Tb2 0.918 0.693 0.606
Tb3 0.697 0.124 0.584
Tb4 0.302 0.855 0.128
Tb5 0.009 0.190 0.417
Tb6 0.363 0.290 0.916
Tb7 0.424 0.477 0.372
Tb8 0.562 0.837 0.894
Ru1 0.655 0.751 0.256
Ru2 0.498 0.355 0.673
Ru3 0.075 0.431 0.827
Ru4 0.649 0.245 0.244
Sb1 0.252 0.864 0.498
Sb2 0.004 0.116 0.001

Computed properties:
raw formation energy: -0.51 eV/atom
calculated density: 9175 kg/m3

---

Material: Re2Rh
Method: DFT, PBE-GGA
State: relaxed

a b c (Å): 4.820 4.820 4.361
angles (deg): 90.00 90.00 119.96
Sites, in units of the cell vectors:
Re1 0.168 0.505 0.750
Re2 0.495 0.832 0.250
Re3 0.505 0.168 0.750
Re4 0.832 0.495 0.250
Rh1 0.164 0.164 0.250
Rh2 0.836 0.836 0.750

Computed properties:
E_form: -0.13 eV per atom
calculated density: 17985 kg/m3

---

Material: ScSiPt5
Method: DFT, PBE-GGA
State: relaxed

a b c (Å): 3.984 3.984 7.041
angles (deg): 90.00 90.00 90.00
Sites, in units of the cell vectors:
Sc1 0.000 0.000 0.500
Pt1 0.500 0.500 0.500
Pt2 0.500 0.000 0.209
Pt3 0.500 0.000 0.791
Pt4 0.000 0.500 0.791
Pt5 0.000 0.500 0.209
Si1 0.500 0.500 0.000

Computed properties:
raw formation energy: -0.96 eV/atom
calculated density: 15578 kg/m3